VASP calculation (PBE with a Hubbard U) on crystalline Tl3WO4 at its relaxed geometry.

D(E_F) = 0.3592 states/eV/atom
electronic total energy = -87.5 eV/cell
size of the total moment = 0.000 μB/atom

Cell and atoms, written as CIF:
```
data_Tl3WO4
_chemical_formula_sum 'Tl6 W2 O8'
_symmetry_space_group_name_H-M 'I m m 2'
_symmetry_Int_Tables_number 44
_symmetry_space_group_name_Hall 'I 2 -2'
_cell_length_a 6.331
_cell_length_b 8.282
_cell_length_c 7.000
_cell_angle_alpha 90.00
_cell_angle_beta 90.00
_cell_angle_gamma 90.00
loop_
_atom_site_label
_atom_site_type_symbol
_atom_site_fract_x
_atom_site_fract_y
_atom_site_fract_z
Tl1 Tl 0.000 0.000 0.000
Tl2 Tl 0.000 0.247 0.518
W1 W 0.000 0.500 0.990
O1 O 0.000 0.318 0.136
O2 O 0.234 0.500 0.838
```